one) Here is a relaxed NpCF crystal from Alexandria via LeMat-Bulk. Energies are from PBE-GGA.

```
NpCF
1.0
3.784 0.000 0.000
0.000 3.097 -0.023
0.000 -1.504 6.749
F Np C
2 2 2
Direct
0.500 0.337 0.837
0.000 0.735 0.634
0.500 0.147 0.456
0.000 0.925 0.015
0.250 0.536 0.236
0.750 0.536 0.236
```

Space group ... Cmcm
Calculated volume ... 78.96 Å³ per cell
Total magnetic moment ... 1.043 μB per atom

two) Here is a relaxed NpCF crystal from Alexandria via LeMat-Bulk. Energies are from PBE-GGA.

```
NpCF
1.0
-1.369 4.181 -2.442
-3.379 -1.218 -0.191
1.040 1.984 2.814
C Np F
1 1 1
Direct
0.517 0.333 0.667
0.361 0.667 0.333
0.122 0.000 0.000
```

Space group ... P3m1
Calculated volume ... 56.38 Å³ per cell
Total magnetic moment ... 0.667 μB per atom

three) Here is a relaxed NpCF crystal from Alexandria via LeMat-Bulk. Energies are from PBE-GGA.

```
NpCF
1.0
3.265 0.000 0.000
0.000 3.265 0.000
-1.632 -1.632 4.910
C Np F
1 1 1
Direct
0.265 0.265 0.531
0.760 0.760 0.521
0.974 0.974 0.949
```

Space group ... I4mm
Calculated volume ... 52.33 Å³ per cell
Total magnetic moment ... 0.728 μB per atom

Energies relative to the most stable structure are one) 0.000; two) 0.217; three) 0.277, reported in eV/atom.

one) Here is a relaxed OsCOF2 crystal from Alexandria via LeMat-Bulk. Energies are from PBE-GGA.

```
OsCOF2
1.0
-2.121 2.033 1.258
-2.253 -2.262 -0.144
1.821 -2.239 6.690
F C Os O
2 1 1 1
Direct
0.000 0.500 0.000
0.500 0.000 0.000
0.000 0.000 0.000
0.500 0.500 0.500
0.000 0.000 0.500
```

Space group ... P4/mmm
Calculated volume ... 74.40 Å³ per cell
Total magnetic moment ... 0.732 μB per atom

two) Here is a relaxed OsCOF2 crystal from Alexandria via LeMat-Bulk. Energies are from PBE-GGA.

```
OsCOF2
1.0
4.188 0.000 0.000
0.000 4.188 0.000
0.000 0.000 3.699
F Os O C
2 1 1 1
Direct
0.000 0.500 0.000
0.500 0.000 0.000
0.000 0.000 0.000
0.000 0.000 0.500
0.500 0.500 0.500
```

Space group ... P4/mmm
Calculated volume ... 64.88 Å³ per cell
Total magnetic moment ... 0.366 μB per atom

Energies relative to the most stable structure are one) 0.560; two) 0.000, reported in eV/atom.

one) Here is a relaxed RbCOF2 crystal from Alexandria via LeMat-Bulk. Energies are from PBE-GGA.

```
RbCOF2
1.0
4.557 0.000 0.000
0.000 4.557 0.000
0.000 0.000 3.024
Rb F C O
1 2 1 1
Direct
0.500 0.500 0.500
0.500 0.000 0.000
0.000 0.500 0.000
0.000 0.000 0.000
0.000 0.000 0.500
```

Space group ... P4/mmm
Calculated volume ... 62.81 Å³ per cell
Total magnetic moment ... 0.000 μB per atom

two) Here is a relaxed RbCOF2 crystal from Alexandria via LeMat-Bulk. Energies are from PBE-GGA.

```
RbCOF2
1.0
4.801 0.000 0.000
0.000 4.801 0.000
0.000 0.000 4.476
O F C Rb
1 2 1 1
Direct
0.000 0.000 0.500
0.500 0.000 0.000
0.000 0.500 0.000
0.500 0.500 0.500
0.000 0.000 0.000
```

Space group ... P4/mmm
Calculated volume ... 103.16 Å³ per cell
Total magnetic moment ... 0.000 μB per atom

Energies relative to the most stable structure are one) 0.000; two) 1.934, reported in eV/atom.

one) Here is a relaxed ZnC2S2O2F2 crystal from Alexandria via LeMat-Bulk. Energies are from PBE-GGA.

```
ZnC2S2O2F2
1.0
-2.791 3.477 0.489
-3.743 1.167 2.188
5.332 6.586 6.704
C Zn F S O
2 1 2 2 2
Direct
0.472 0.039 0.290
0.528 0.961 0.710
0.000 0.000 0.000
0.259 0.053 0.406
0.741 0.947 0.594
0.983 0.618 0.814
0.017 0.382 0.186
0.721 0.556 0.916
0.279 0.444 0.084
```

Space group ... P-1
Calculated volume ... 131.12 Å³ per cell
Total magnetic moment ... 0.000 μB per atom

two) Here is a relaxed ZnC2S2O2F2 crystal from Alexandria via LeMat-Bulk. Energies are from PBE-GGA.

```
ZnC2S2O2F2
1.0
5.111 -0.111 0.109
1.555 3.566 0.038
3.670 -1.322 8.486
F C S Zn O
2 2 2 1 2
Direct
0.345 0.852 0.657
0.655 0.148 0.343
0.616 0.177 0.205
0.384 0.823 0.795
0.238 0.361 0.250
0.762 0.639 0.750
0.000 0.000 0.000
0.192 0.396 0.097
0.808 0.604 0.903
```

Space group ... P-1
Calculated volume ... 154.70 Å³ per cell
Total magnetic moment ... 0.000 μB per atom

Energies relative to the most stable structure are one) 0.232; two) 0.000, reported in eV/atom.

one) Here is a relaxed ScCOF2 crystal from Alexandria via LeMat-Bulk. Energies are from PBE-GGA.

```
ScCOF2
1.0
4.245 0.000 0.000
0.000 4.245 0.000
0.000 0.000 3.071
Sc C O F
1 1 1 2
Direct
0.500 0.500 0.500
0.000 0.000 0.000
0.000 0.000 0.500
0.500 0.000 0.000
0.000 0.500 0.000
```

Space group ... P4/mmm
Calculated volume ... 55.35 Å³ per cell
Total magnetic moment ... 0.000 μB per atom

two) Here is a relaxed ScCOF2 crystal from Alexandria via LeMat-Bulk. Energies are from PBE-GGA.

```
ScCOF2
1.0
-1.838 -3.541 0.282
3.091 -1.437 2.092
-1.855 1.249 3.598
C Sc O F
1 1 1 2
Direct
0.500 0.500 0.500
0.000 0.000 0.000
0.000 0.000 0.500
0.000 0.500 0.000
0.500 0.000 0.000
```

Space group ... P4/mmm
Calculated volume ... 67.76 Å³ per cell
Total magnetic moment ... 0.200 μB per atom

Energies relative to the most stable structure are one) 0.501; two) 0.000, reported in eV/atom.

one) Here is a relaxed SiCOF2 crystal from Alexandria via LeMat-Bulk. Energies are from PBE-GGA.

```
SiCOF2
1.0
-2.907 2.511 -0.388
-2.449 -2.614 1.439
0.574 1.133 3.033
O C F Si
1 1 2 1
Direct
0.000 0.000 0.500
0.500 0.500 0.500
0.500 0.000 0.000
0.000 0.500 0.000
0.000 0.000 0.000
```

Space group ... P4/mmm
Calculated volume ... 49.00 Å³ per cell
Total magnetic moment ... 0.395 μB per atom

two) Here is a relaxed SiCOF2 crystal from Alexandria via LeMat-Bulk. Energies are from PBE-GGA.

```
SiCOF2
1.0
4.544 0.000 0.000
0.000 4.544 0.000
0.000 0.000 2.744
C O F Si
1 1 2 1
Direct
0.000 0.000 0.000
0.000 0.000 0.500
0.000 0.500 0.000
0.500 0.000 0.000
0.500 0.500 0.500
```

Space group ... P4/mmm
Calculated volume ... 56.65 Å³ per cell
Total magnetic moment ... 0.000 μB per atom

Energies relative to the most stable structure are one) 0.000; two) 0.532, reported in eV/atom.

one) Here is a relaxed SnCOF2 crystal from Alexandria via LeMat-Bulk. Energies are from PBE-GGA.

```
SnCOF2
1.0
4.512 0.000 0.000
0.000 4.512 0.000
0.000 0.000 3.089
F O C Sn
2 1 1 1
Direct
0.000 0.500 0.000
0.500 0.000 0.000
0.000 0.000 0.500
0.000 0.000 0.000
0.500 0.500 0.500
```

Space group ... P4/mmm
Calculated volume ... 62.87 Å³ per cell
Total magnetic moment ... 0.000 μB per atom

two) Here is a relaxed SnCOF2 crystal from Alexandria via LeMat-Bulk. Energies are from PBE-GGA.

```
SnCOF2
1.0
-0.534 -0.612 4.139
4.044 -1.143 0.353
1.010 3.786 0.690
F C Sn O
2 1 1 1
Direct
0.500 0.000 0.000
0.000 0.500 0.000
0.500 0.500 0.500
0.000 0.000 0.000
0.000 0.000 0.500
```

Space group ... P4/mmm
Calculated volume ... 70.77 Å³ per cell
Total magnetic moment ... 0.362 μB per atom

Energies relative to the most stable structure are one) 0.000; two) 0.156, reported in eV/atom.

one) Here is a relaxed SrCOF2 crystal from Alexandria via LeMat-Bulk. Energies are from PBE-GGA.

```
SrCOF2
1.0
4.579 0.000 0.000
0.000 4.579 0.000
0.000 0.000 4.901
Sr O C F
1 1 1 2
Direct
0.000 0.000 0.000
0.000 0.000 0.500
0.500 0.500 0.500
0.000 0.500 0.000
0.500 0.000 0.000
```

Space group ... P4/mmm
Calculated volume ... 102.76 Å³ per cell
Total magnetic moment ... 0.000 μB per atom

two) Here is a relaxed SrCOF2 crystal from Alexandria via LeMat-Bulk. Energies are from PBE-GGA.

```
SrCOF2
1.0
-2.386 -1.331 -3.257
2.142 -3.671 -0.069
-2.191 -1.319 2.144
C Sr F O
1 1 2 1
Direct
0.000 0.000 0.000
0.500 0.500 0.500
0.500 0.000 0.000
0.000 0.500 0.000
0.000 0.000 0.500
```

Space group ... P4/mmm
Calculated volume ... 60.30 Å³ per cell
Total magnetic moment ... 0.000 μB per atom

Energies relative to the most stable structure are one) 1.148; two) 0.000, reported in eV/atom.